A plane-wave DFT calculation with PBE-GGA was carried out for crystalline DySc2Si4Au4 at its relaxed geometry.

Unit cell a=8.039 b=8.039 c=8.039 alpha=150.25 beta=128.84 gamma=60.30
Element x y z (fractional)
Au 0.630 0.334 0.296
Au 0.962 0.666 0.296
Au 0.038 0.334 0.704
Au 0.370 0.666 0.704
Dy 0.000 0.000 0.000
Sc 0.620 0.120 0.500
Sc 0.380 0.880 0.500
Si 0.220 0.220 0.000
Si 0.780 0.780 0.000
Si 0.672 0.500 0.172
Si 0.328 0.500 0.828

As for the total DFT energy (no corrections): -5.3848 eV per atom.